Entry 1:
The following is a PBE-GGA calculation of crystalline KInFe2 at its relaxed geometry, from Alexandria via LeMat-Bulk.

Results
E_form	0.605	eV/atom
volume	24.71	A^3/atom

Cell lengths 3.0078, 4.7746, 6.9185 Å; angles 90.00, 95.76, 90.00 degrees
Closest atoms and distances in Å follow each position.
Fractional coordinates of all 4 atoms:
K1 0.0000 0.0000 0.0000  2 K 3.01
In1 0.5000 0.0000 0.5000  4 Fe 2.67
Fe1 0.2549 0.5000 0.6275  2 Fe 2.22-2.41
Fe2 0.7451 0.5000 0.3725  2 Fe 2.22-2.41

***

Entry 2:
The following is a PBE-GGA calculation of crystalline DyGa4Cu3 at its relaxed geometry, from Alexandria via LeMat-Bulk.

Results
E_form	-0.294	eV/atom
volume	16.93	A^3/atom

Cell lengths 4.0703, 4.0703, 8.1746 Å; angles 90.00, 90.00, 90.00 degrees
Closest atoms and distances in Å follow each position.
Fractional coordinates of all 8 atoms:
Dy1 0.0000 0.0000 0.0000  8 Cu 3.11, 8 Ga 3.32
Ga1 0.0000 0.5000 0.3214  4 Cu 2.49-2.50
Ga2 0.0000 0.5000 0.6786  4 Cu 2.49-2.50
Ga3 0.5000 0.0000 0.3214  4 Cu 2.49-2.50
Ga4 0.5000 0.0000 0.6786  4 Cu 2.49-2.50
Cu1 0.0000 0.0000 0.5000  8 Ga 2.50
Cu2 0.5000 0.5000 0.1449  1 Cu 2.37, 4 Ga 2.49
Cu3 0.5000 0.5000 0.8551  1 Cu 2.37, 4 Ga 2.49

***

Entry 3:
The following is a PBE-GGA calculation of crystalline CoH2RuAu at its relaxed geometry, from Alexandria via LeMat-Bulk.

Results
uncorrected energy	-4.2490	eV per atom
volume	12.89	A^3/atom

Cell lengths 3.6031, 3.6031, 4.9630 Å; angles 90.00, 90.00, 90.00 degrees
Closest atoms and distances in Å follow each position.
Fractional coordinates of all 5 atoms:
Co1 0.0000 0.0000 0.0000  4 H 1.80
H1 0.0000 0.5000 0.0000  2 Co 1.80
H2 0.5000 0.0000 0.0000  2 Co 1.80
Ru1 0.5000 0.5000 0.5000  4 Au 2.55
Au1 0.0000 0.0000 0.5000  2 Co 2.48, 4 Ru 2.55

***

Entry 4:
The following is a PBE-GGA calculation of crystalline GeTe2RuF at its relaxed geometry, from Alexandria via LeMat-Bulk.

Results
ΔE_f (raw)	680	meV/atom
volume	26.93	A^3/atom

Cell lengths 5.3268, 5.3268, 4.7452 Å; angles 90.00, 90.00, 90.00 degrees
Closest atoms and distances in Å follow each position.
Fractional coordinates of all 5 atoms:
Ge1 0.0000 0.0000 0.0000  2 Ru 2.37
Te1 0.0000 0.5000 0.0000  2 Ge 2.66
Te2 0.5000 0.0000 0.0000  2 Ge 2.66
Ru1 0.0000 0.0000 0.5000  2 Ge 2.37
F1 0.5000 0.5000 0.5000  8 Te 3.57, 4 Ru 3.77

***

Entry 5:
The following is a PBE-GGA calculation of crystalline TmZnPtRh at its relaxed geometry, from Alexandria via LeMat-Bulk.

Results
relative energy among the computed polymorphs	0.000	eV/atom
E_form	-0.879	eV/atom
volume	16.72	A^3/atom

Cell lengths 3.6859, 4.2096, 4.3109 Å; angles 90.00, 90.00, 90.00 degrees
Closest atoms and distances in Å follow each position.
Fractional coordinates of all 4 atoms:
Tm1 0.0000 0.0000 0.0000  4 Rh 2.80, 4 Pt 2.84, 4 Zn 3.01
Zn1 0.0000 0.5000 0.5000  4 Pt 2.80, 4 Rh 2.84, 4 Tm 3.01
Pt1 0.5000 0.0000 0.5000  4 Zn 2.80, 4 Tm 2.84, 4 Rh 3.01
Rh1 0.5000 0.5000 0.0000  4 Tm 2.80, 4 Zn 2.84, 4 Pt 3.01

***

Entry 6:
The following is a PBE-GGA calculation of crystalline Ac3Ag8Hg3 at its relaxed geometry, from Alexandria via LeMat-Bulk.

Results
E_form	-0.258	eV/atom
volume	24.69	A^3/atom

Cell lengths 9.0104, 9.0104, 10.1238 Å; angles 123.68, 123.68, 30.95 degrees
Closest atoms and distances in Å follow each position.
Fractional coordinates of all 14 atoms:
Ac1 0.0000 0.0000 0.0000  4 Ag 3.32-3.33, 4 Hg 3.66
Ac2 0.3097 0.3097 0.3126  10 Ag 3.39-3.79, 5 Hg 3.42-3.74
Ac3 0.6903 0.6903 0.6874  10 Ag 3.39-3.79, 5 Hg 3.42-3.74
Ag1 0.1254 0.1254 0.4011  5 Ag 2.82-2.98, 1 Hg 2.87
Ag2 0.1256 0.1256 0.8459  4 Hg 2.87-3.03, 2 Ag 3.01
Ag3 0.3236 0.3236 0.6755  4 Ag 2.82-2.93, 1 Hg 2.86
Ag4 0.4982 0.4982 0.7105  5 Ag 2.84-3.01, 1 Hg 2.90
Ag5 0.5018 0.5018 0.2895  5 Ag 2.84-3.01, 1 Hg 2.90
Ag6 0.6764 0.6764 0.3245  4 Ag 2.82-2.93, 1 Hg 2.86
Ag7 0.8744 0.8744 0.1541  4 Hg 2.87-3.03, 2 Ag 3.01
Ag8 0.8746 0.8746 0.5989  5 Ag 2.82-2.98, 1 Hg 2.87
Hg1 0.0000 0.0000 0.5000  4 Ag 2.87
Hg2 0.3303 0.3303 0.9644  5 Ag 2.86-3.03
Hg3 0.6697 0.6697 0.0356  5 Ag 2.86-3.03